#a
The following is a DFT calculation (PBE) of an optimized crystal structure of BeAsCSe2.

POSCAR file:
```
BeAsCSe2
1.0
4.8504 0.0000 0.0000
0.0000 4.8504 0.0000
0.0000 0.0000 3.3920
Be As C Se
1 1 1 2
Direct
0.0000 0.0000 0.0000
0.5000 0.5000 0.5000
0.0000 0.0000 0.5000
0.0000 0.5000 0.0000
0.5000 0.0000 0.0000
```


#b
The following is a DFT calculation (PBE) of an optimized crystal structure of BeAsCSe2.

POSCAR file:
```
BeAsCSe2
1.0
4.4518 0.0000 0.0000
0.0000 4.4518 0.0000
0.0000 0.0000 4.1688
Be As C Se
1 1 1 2
Direct
0.0000 0.0000 0.0000
0.5000 0.5000 0.0000
0.5000 0.5000 0.5000
0.0000 0.5000 0.5000
0.5000 0.0000 0.5000
```


So which one is most stable? That would be #a, about 424 meV/atom below the next structure.


#a
The following is a DFT calculation (PBE) of an optimized crystal structure of CaBeAs.

POSCAR file:
```
CaBeAs
1.0
6.5644 0.0000 0.0000
0.0000 6.5644 0.0000
0.0000 0.0000 6.5644
Ca Be As
4 4 4
Direct
0.0000 0.0000 0.0000
0.0000 0.5000 0.5000
0.5000 0.0000 0.5000
0.5000 0.5000 0.0000
0.2500 0.2500 0.2500
0.2500 0.7500 0.7500
0.7500 0.2500 0.7500
0.7500 0.7500 0.2500
0.2500 0.2500 0.7500
0.2500 0.7500 0.2500
0.7500 0.2500 0.2500
0.7500 0.7500 0.7500
```


#b
The following is a DFT calculation (PBE) of an optimized crystal structure of CaBeAs.

POSCAR file:
```
CaBeAs
1.0
3.3878 0.0000 0.0000
0.0000 3.3878 0.0000
0.0000 0.0000 10.1303
Ca Be As
2 2 2
Direct
0.0000 0.0000 0.0000
0.5000 0.5000 0.5000
0.0000 0.0000 0.2856
0.5000 0.5000 0.7856
0.0000 0.0000 0.7095
0.5000 0.5000 0.2095
```


So which one is most stable? That would be #b, about 437 meV/atom below the next structure.


#a
The following is a DFT calculation (PBE) of an optimized crystal structure of CaBeAs.

POSCAR file:
```
CaBeAs
1.0
3.8574 0.0000 0.0000
-1.9287 3.3406 0.0000
0.0000 0.0000 8.7130
Ca Be As
2 2 2
Direct
0.0000 0.0000 0.0000
0.0000 0.0000 0.5000
0.3333 0.6667 0.2500
0.6667 0.3333 0.7500
0.3333 0.6667 0.7500
0.6667 0.3333 0.2500
```


#b
The following is a DFT calculation (PBE) of an optimized crystal structure of CaBeAs.

POSCAR file:
```
CaBeAs
1.0
6.9012 0.0000 0.0000
0.0000 4.2769 0.0000
0.0000 0.0000 8.6696
Ca Be As
4 4 4
Direct
0.1451 0.2500 0.1499
0.3549 0.7500 0.6499
0.6451 0.2500 0.3501
0.8549 0.7500 0.8501
0.0216 0.7500 0.3972
0.4784 0.2500 0.8972
0.5216 0.7500 0.1028
0.9784 0.2500 0.6028
0.1576 0.2500 0.8197
0.3424 0.7500 0.3197
0.6576 0.2500 0.6803
0.8424 0.7500 0.1803
```


#c
The following is a DFT calculation (PBE) of an optimized crystal structure of CaBeAs.

POSCAR file:
```
CaBeAs
1.0
3.8762 0.0000 0.0000
-1.9381 3.3569 0.0000
0.0000 0.0000 4.3202
Ca Be As
1 1 1
Direct
0.0000 0.0000 0.0000
0.6667 0.3333 0.5000
0.3333 0.6667 0.5000
```


So which one is most stable? That would be #c, about 18 meV/atom below the next structure.


#a
The following is a DFT calculation (PBE) of an optimized crystal structure of Ca2BeAs.

POSCAR file:
```
Ca2BeAs
1.0
7.1422 0.0000 0.0000
0.0000 7.1422 0.0000
0.0000 0.0000 7.1422
Ca Be As
8 4 4
Direct
0.2500 0.2500 0.2500
0.2500 0.2500 0.7500
0.2500 0.7500 0.2500
0.2500 0.7500 0.7500
0.7500 0.2500 0.2500
0.7500 0.2500 0.7500
0.7500 0.7500 0.2500
0.7500 0.7500 0.7500
0.0000 0.0000 0.0000
0.0000 0.5000 0.5000
0.5000 0.0000 0.5000
0.5000 0.5000 0.0000
0.0000 0.0000 0.5000
0.0000 0.5000 0.0000
0.5000 0.0000 0.0000
0.5000 0.5000 0.5000
```


#b
The following is a DFT calculation (PBE) of an optimized crystal structure of Ca2BeAs.

POSCAR file:
```
Ca2BeAs
1.0
3.9263 0.0000 0.0000
0.0000 4.3015 0.0000
0.0000 0.0000 11.0280
Ca Be As
4 2 2
Direct
0.0000 0.0000 0.0000
0.0000 0.5000 0.5000
0.5000 0.0000 0.2837
0.5000 0.5000 0.7837
0.5000 0.0000 0.5824
0.5000 0.5000 0.0824
0.0000 0.0000 0.7045
0.0000 0.5000 0.2045
```


#c
The following is a DFT calculation (PBE) of an optimized crystal structure of Ca2BeAs.

POSCAR file:
```
Ca2BeAs
1.0
4.0616 0.0000 0.0000
0.0000 6.0628 0.0000
0.0000 0.0000 8.5127
Ca Be As
4 2 2
Direct
0.0000 0.0000 0.0000
0.0000 0.5000 0.3955
0.5000 0.0000 0.3955
0.5000 0.5000 0.0000
0.0000 0.0000 0.6428
0.5000 0.5000 0.6428
0.0000 0.5000 0.7589
0.5000 0.0000 0.7589
```


#d
The following is a DFT calculation (PBE) of an optimized crystal structure of Ca2BeAs.

POSCAR file:
```
Ca2BeAs
1.0
7.2178 0.0000 0.0000
0.0000 7.2178 0.0000
0.0000 0.0000 7.2178
Ca Be As
8 4 4
Direct
0.0000 0.0000 0.0000
0.0000 0.5000 0.5000
0.2500 0.2500 0.2500
0.2500 0.7500 0.7500
0.5000 0.0000 0.5000
0.5000 0.5000 0.0000
0.7500 0.2500 0.7500
0.7500 0.7500 0.2500
0.2500 0.2500 0.7500
0.2500 0.7500 0.2500
0.7500 0.2500 0.2500
0.7500 0.7500 0.7500
0.0000 0.0000 0.5000
0.0000 0.5000 0.0000
0.5000 0.0000 0.0000
0.5000 0.5000 0.5000
```


So which one is most stable? That would be #b, about 297 meV/atom below the next structure.


#a
The following is a DFT calculation (PBE) of an optimized crystal structure of Ca2BeAs.

POSCAR file:
```
Ca2BeAs
1.0
4.7839 0.0000 0.0000
0.0000 4.7839 0.0000
0.0000 0.0000 3.9320
Ca Be As
2 1 1
Direct
0.0000 0.5000 0.0000
0.5000 0.0000 0.0000
0.0000 0.0000 0.5000
0.5000 0.5000 0.5000
```


#b
The following is a DFT calculation (PBE) of an optimized crystal structure of Ca2BeAs.

POSCAR file:
```
Ca2BeAs
1.0
4.2273 0.0000 0.0000
0.0000 4.2273 0.0000
0.0000 0.0000 10.5515
Ca Be As
4 2 2
Direct
0.0000 0.0000 0.0000
0.0000 0.5000 0.2500
0.5000 0.0000 0.7500
0.5000 0.5000 0.5000
0.0000 0.0000 0.5000
0.5000 0.5000 0.0000
0.0000 0.5000 0.7500
0.5000 0.0000 0.2500
```


#c
The following is a DFT calculation (PBE) of an optimized crystal structure of Ca2BeAs.

POSCAR file:
```
Ca2BeAs
1.0
5.3715 0.0000 0.0000
0.0000 5.3715 0.0000
0.0000 0.0000 17.4977
Ca Be As
8 4 4
Direct
0.2423 0.2500 0.1250
0.2500 0.7423 0.3750
0.2500 0.7577 0.8750
0.2577 0.2500 0.6250
0.7423 0.7500 0.6250
0.7500 0.2423 0.8750
0.7500 0.2577 0.3750
0.7577 0.7500 0.1250
0.0000 0.0000 0.5000
0.0000 0.5000 0.7500
0.5000 0.0000 0.2500
0.5000 0.5000 0.0000
0.0000 0.0000 0.0000
0.0000 0.5000 0.2500
0.5000 0.0000 0.7500
0.5000 0.5000 0.5000
```


#d
The following is a DFT calculation (PBE) of an optimized crystal structure of Ca2BeAs.

POSCAR file:
```
Ca2BeAs
1.0
3.7881 0.0000 0.0000
0.0000 4.2055 0.0000
0.0000 0.0000 12.9130
Ca Be As
4 2 2
Direct
0.0000 0.0000 0.0000
0.0000 0.5000 0.2480
0.5000 0.0000 0.7480
0.5000 0.5000 0.5000
0.0000 0.0000 0.4229
0.5000 0.5000 0.9229
0.0000 0.5000 0.8244
0.5000 0.0000 0.3244
```


So which one is most stable? That would be #d, about 90 meV/atom below the next structure.


#a
The following is a DFT calculation (PBE) of an optimized crystal structure of CaBeAs3.

POSCAR file:
```
CaBeAs3
1.0
5.2986 0.0000 0.0000
0.0000 5.2986 0.0000
0.0000 0.0000 5.2986
Ca Be As
1 1 3
Direct
0.0000 0.0000 0.0000
0.5000 0.5000 0.5000
0.0000 0.0000 0.5000
0.0000 0.5000 0.0000
0.5000 0.0000 0.0000
```


#b
The following is a DFT calculation (PBE) of an optimized crystal structure of CaBeAs3.

POSCAR file:
```
CaBeAs3
1.0
4.6574 0.0000 0.0000
0.0000 4.6574 0.0000
0.0000 0.0000 4.6574
Ca Be As
1 1 3
Direct
0.0000 0.0000 0.0000
0.5000 0.5000 0.5000
0.0000 0.5000 0.5000
0.5000 0.0000 0.5000
0.5000 0.5000 0.0000
```


So which one is most stable? That would be #b, about 1333 meV/atom below the next structure.


#a
The following is a DFT calculation (PBE) of an optimized crystal structure of CaBe3As.

POSCAR file:
```
CaBe3As
1.0
4.9513 0.0000 0.0000
0.0000 4.9513 0.0000
0.0000 0.0000 4.9513
Ca Be As
1 3 1
Direct
0.0000 0.0000 0.0000
0.0000 0.0000 0.5000
0.0000 0.5000 0.0000
0.5000 0.0000 0.0000
0.5000 0.5000 0.5000
```


#b
The following is a DFT calculation (PBE) of an optimized crystal structure of CaBe3As.

POSCAR file:
```
CaBe3As
1.0
4.4759 0.0000 0.0000
0.0000 4.4759 0.0000
0.0000 0.0000 4.4759
Ca Be As
1 3 1
Direct
0.0000 0.0000 0.0000
0.0000 0.5000 0.5000
0.5000 0.0000 0.5000
0.5000 0.5000 0.0000
0.5000 0.5000 0.5000
```


So which one is most stable? That would be #b, about 1444 meV/atom below the next structure.


#a
The following is a DFT calculation (PBE) of an optimized crystal structure of CaBeAsSe2.

POSCAR file:
```
CaBeAsSe2
1.0
5.0423 0.0000 0.0000
0.0000 5.0423 0.0000
0.0000 0.0000 4.1971
Ca Be As Se
1 1 1 2
Direct
0.0000 0.0000 0.0000
0.5000 0.5000 0.5000
0.5000 0.5000 0.0000
0.0000 0.5000 0.5000
0.5000 0.0000 0.5000
```


#b
The following is a DFT calculation (PBE) of an optimized crystal structure of CaBeAsSe2.

POSCAR file:
```
CaBeAsSe2
1.0
5.3631 0.0000 0.0000
0.0000 5.3631 0.0000
0.0000 0.0000 5.4461
Ca Be As Se
1 1 1 2
Direct
0.0000 0.0000 0.0000
0.5000 0.5000 0.5000
0.0000 0.0000 0.5000
0.0000 0.5000 0.0000
0.5000 0.0000 0.0000
```


So which one is most stable? That would be #a, about 1281 meV/atom below the next structure.